[1]
Density functional theory data (PBE) for Nd4Mg3Co2 after structural relaxation.

abc: 7.648 3.803 8.318
angles: 90.00 109.79 90.00
Space group P2/m (No. 10)
Asymmetric unit:
Nd  0.096  0.000  0.224
Nd  0.396  0.000  0.683
Mg  0.000  0.500  0.500
Mg  0.293  0.500  0.001
Co  0.351  0.500  0.394

Results
Magnetic moment (μB/atom): 0.001
ρ (Mg/m³): 5.600
Energy (eV per atom): -4.32



[2]
Density functional theory data (PBE) for ScAlOs after structural relaxation.

abc: 3.230 3.230 9.727
angles: 90.00 90.00 90.00
Space group P4/nmm (No. 129, origin choice 2)
Asymmetric unit:
Sc  0.250  0.250  0.132
Al  0.250  0.250  0.425
Os  0.250  0.250  0.707

Results
Magnetic moment (μB/atom): 0.000
ρ (Mg/m³): 8.582
Energy (eV per atom): -7.59



[3]
Density functional theory data (PBE) for NbFeSnAu after structural relaxation.

abc: 6.530 6.530 6.530
angles: 90.00 90.00 90.00
Space group F-43m (No. 216)
Asymmetric unit:
Nb  0.000  0.000  0.000
Fe  0.250  0.250  0.750
Sn  0.000  0.000  0.500
Au  0.250  0.250  0.250

Results
Magnetic moment (μB/atom): 0.263
ρ (Mg/m³): 11.081
Energy (eV per atom): -6.24
Polymorph energy (0 for the lowest one) (meV/atom): 0.0



[4]
Density functional theory data (PBE) for YReNi2 after structural relaxation.

abc: 6.289 6.289 6.289
angles: 90.00 90.00 90.00
Space group F-43m (No. 216)
Asymmetric unit:
Y  0.000  0.000  0.000
Re  0.250  0.250  0.250
Ni  0.000  0.000  0.500
Ni  0.250  0.250  0.750

Results
Magnetic moment (μB/atom): 0.500
ρ (Mg/m³): 10.483
Energy (eV per atom): -7.07
Calculated formation energy (eV/f.u.): 1.74



[5]
Density functional theory data (PBE) for RbInCuS3 after structural relaxation.

abc: 8.908 3.833 9.581
angles: 90.00 108.78 90.00
Space group P2_1/m (No. 11)
Asymmetric unit:
Rb  0.203  0.250  0.240
In  0.337  0.750  0.878
Cu  0.083  0.250  0.597
S  0.131  0.250  0.852
S  0.183  0.750  0.535
S  0.475  0.750  0.161

Results
ρ (Mg/m³): 3.861
Energy (eV per atom): -3.91



[6]
Density functional theory data (PBE) for CsTcBi after structural relaxation.

abc: 7.116 7.116 7.116
angles: 90.00 90.00 90.00
Space group F-43m (No. 216)
Asymmetric unit:
Cs  0.000  0.000  0.000
Tc  0.250  0.250  0.750
Bi  0.000  0.000  0.500

Results
Magnetic moment (μB/atom): 0.332
ρ (Mg/m³): 8.107
Energy (eV per atom): -3.94
Polymorph energy (0 for the lowest one) (meV/atom): 0.0



[7]
Density functional theory data (PBE) for KLaAlAu after structural relaxation.

abc: 7.324 7.324 7.324
angles: 90.00 90.00 90.00
Space group F-43m (No. 216)
Asymmetric unit:
K  0.000  0.000  0.000
La  0.250  0.250  0.750
Al  0.250  0.250  0.250
Au  0.000  0.000  0.500

Results
Magnetic moment (μB/atom): 0.000
ρ (Mg/m³): 6.795
Energy (eV per atom): -3.39
Polymorph energy (0 for the lowest one) (meV/atom): 0.0



[8]
Density functional theory data (PBE) for KHfTe4Au3 after structural relaxation.

abc: 6.683 8.498 10.769
angles: 90.00 106.74 90.00
Space group P2_1/m (No. 11)
Asymmetric unit:
K  0.193  0.250  0.404
Hf  0.346  0.750  0.205
Te  0.016  0.750  0.968
Te  0.201  0.750  0.416
Te  0.390  0.512  0.756
Au  0.146  0.250  0.805
Au  0.293  0.008  0.008

Results
Magnetic moment (μB/atom): 0.000
ρ (Mg/m³): 7.479
Energy (eV per atom): -4.18
Polymorph energy (0 for the lowest one) (meV/atom): 0.0



[9]
Density functional theory data (PBE) for PrZn12 after structural relaxation.

abc: 8.903 8.903 5.184
angles: 90.00 90.00 90.00
Space group I4/mmm (No. 139)
Asymmetric unit:
Pr  0.000  0.000  0.000
Zn  0.000  0.221  0.500
Zn  0.000  0.356  0.000
Zn  0.250  0.250  0.250

Results
Magnetic moment (μB/atom): 0.000
ρ (Mg/m³): 7.484
Energy (eV per atom): -1.73
Calculated formation energy (eV/f.u.): -2.53



[10]
Density functional theory data (PBE) for Nd2AlO4 after structural relaxation.

abc: 9.311 9.311 9.311
angles: 90.00 90.00 90.00
Space group Fd-3m (No. 227, origin choice 2)
Asymmetric unit:
Nd  0.000  0.000  0.000
Al  0.125  0.125  0.625
O  0.013  0.013  0.737

Results
Magnetic moment (μB/atom): 0.000
ρ (Mg/m³): 6.246
Energy (eV per atom): -7.63



[11]
Density functional theory data (PBE) for NaIrSeO after structural relaxation.

abc: 3.764 6.697 5.554
angles: 90.00 90.00 90.00
Space group Pmc2_1 (No. 26)
Asymmetric unit:
Na  0.000  0.115  0.000
Ir  0.500  0.500  0.217
Se  0.000  0.334  0.472
O  0.500  0.272  0.965

Results
Magnetic moment (μB/atom): 0.012
ρ (Mg/m³): 7.357
Energy (eV per atom): -5.28
Polymorph energy (0 for the lowest one) (meV/atom): 0.0



[12]
Density functional theory data (PBE) for K2InCuCl6 after structural relaxation.

abc: 10.071 10.071 10.071
angles: 90.00 90.00 90.00
Space group Fm-3m (No. 225)
Asymmetric unit:
K  0.250  0.250  0.250
In  0.000  0.000  0.000
Cu  0.000  0.000  0.500
Cl  0.000  0.000  0.254

Results
ρ (Mg/m³): 3.052
Energy (eV per atom): -3.26